# SrMg9Au3

A relaxed SrMg9Au3 crystal (GGA-PBE, the Alexandria database).

Geometry as CIF:
```
data_SrMg9Au3
_chemical_formula_sum 'Sr2 Mg18 Au6'
_symmetry_space_group_name_H-M 'C 1 2/m 1'
_symmetry_Int_Tables_number 12
_cell_length_a 5.678
_cell_length_b 14.203
_cell_length_c 7.596
_cell_angle_alpha 90.00
_cell_angle_beta 111.69
_cell_angle_gamma 90.00
loop_
_symmetry_equiv_pos_as_xyz
'x,y,z'
'-x,-y,-z'
'-x,y,-z'
'x,-y,z'
'x+1/2,y+1/2,z'
'-x+1/2,-y+1/2,-z'
'-x+1/2,y+1/2,-z'
'x+1/2,-y+1/2,z'
loop_
_atom_site_label
_atom_site_fract_x
_atom_site_fract_y
_atom_site_fract_z
Sr1 0.000 0.000 0.000
Mg1 0.000 0.500 0.500
Mg2 0.115 0.388 0.214
Mg3 0.163 0.178 0.339
Au1 0.000 0.000 0.500
Au2 0.250 0.250 0.000
```

=====

# MgReIr (GGA-PBE, optimized geometry)
data_MgReIr
_chemical_formula_sum 'Mg2 Re2 Ir2'
_symmetry_space_group_name_H-M 'P 63/m m c'
_symmetry_Int_Tables_number 194
_symmetry_space_group_name_Hall '-P 6c 2c'
_cell_length_a 4.6989
_cell_length_b 4.6989
_cell_length_c 9.2494
_cell_angle_alpha 90.00
_cell_angle_beta 90.00
_cell_angle_gamma 120.00
loop_
_atom_site_label
_atom_site_fract_x
_atom_site_fract_y
_atom_site_fract_z
Mg1 0.3333 0.6667 0.2500
Re1 0.0000 0.0000 0.2500
Ir1 0.0000 0.0000 0.0000
# Energy above the most stable polymorph in this dataset: 7.00 eV/f.u.

=====

no.,formation enthalpy at 0 K (meV per atom),magnetization (μB per atom)
1,-339,0.0000
2,2160,0.4286